(1)
Li14Tc2N9 | GGA-PBE | optimized geometry

Values from the calculation:
ΔE_f (raw)   -0.534 eV per atom
DFT total energy   -5.43 eV/atom

a = 5.9670 Å, b = 5.9670 Å, c = 8.4332 Å
α = 90.00°, β = 90.00°, γ = 120.00°
Last column: nearest neighbours and their distance in Å.
Space group P-3 (No. 147)
One atom of each set of equivalent atoms:
Li  0.0000  0.0000  0.2378  4 N 2.01-2.19
Li  0.0443  0.6986  0.9177  4 N 2.06-2.24
Li  0.0744  0.3726  0.5895  4 N 2.03-2.21
Tc  0.3333  0.6667  0.2608  4 N 1.83-1.86
N  0.0000  0.0000  0.0000  8 Li 2.01-2.06
N  0.0532  0.3624  0.3367  1 Tc 1.86, 1 Li 2.03
N  0.3333  0.6667  0.0433  1 Tc 1.83



(2)
LiTcTe2N | GGA-PBE | optimized geometry

Values from the calculation:
ΔE to the lowest computed polymorph   0.0 meV per atom
ΔE_f (raw)   0.038 eV per atom
DFT total energy   -5.34 eV/atom

a = 5.4863 Å, b = 5.4863 Å, c = 3.7132 Å
α = 90.00°, β = 90.00°, γ = 90.00°
Last column: nearest neighbours and their distance in Å.
Space group P4/mmm (No. 123)
One atom of each set of equivalent atoms:
Li  0.0000  0.0000  0.0000  8 Te 3.31
Tc  0.5000  0.5000  0.5000  2 N 1.86
Te  0.0000  0.5000  0.5000  2 Tc 2.74
N  0.5000  0.5000  0.0000  2 Tc 1.86